(w)
Density functional theory data (PBE) for RbNaMn3 after structural relaxation.

Total moment ... 13.43 μB per formula unit

a b c (Å): 5.974 5.974 5.974
angles (deg): 90.00 90.00 90.00
Fractional positions:
1 Rb 0.000 0.000 0.000
2 Na 0.500 0.500 0.500
3 Mn 0.000 0.000 0.500
4 Mn 0.000 0.500 0.000
5 Mn 0.500 0.000 0.000

(x)
Density functional theory data (PBE) for RbNaMn3 after structural relaxation.

Total moment ... 13.31 μB per formula unit

a b c (Å): 5.505 5.505 5.505
angles (deg): 90.00 90.00 90.00
Fractional positions:
1 Rb 0.000 0.000 0.000
2 Na 0.500 0.500 0.500
3 Mn 0.000 0.500 0.500
4 Mn 0.500 0.000 0.500
5 Mn 0.500 0.500 0.000

Which structure above is the least stable one? (w) is the least stable one.